VASP calculation (PBE) on a relaxed structure of CaSm2PuSb4.

abc: 6.3110 6.3110 7.7621
angles: 114.00 114.00 89.98
Last column: magnetic moment on the atom in μB.
Sites, in units of the cell vectors:
1 Ca 0.4373 0.4373 0.0000  -0.03
2 Sm 0.1872 0.6872 0.5000  -0.02
3 Sm 0.6872 0.1872 0.5000  -0.02
4 Pu 0.9371 0.9371 0.0000  5.07
5 Sb 0.9373 0.4370 0.0000  -0.10
6 Sb 0.4370 0.9373 0.0000  -0.10
7 Sb 0.1798 0.1798 0.4853  -0.05
8 Sb 0.6945 0.6945 0.5147  -0.05

Values from the calculation:
Formation energy (no corrections) = -21.42 kcal/mol of atoms
Energy = -6.21 eV/atom
Space group = I4/mmm, No. 139
N(E_F) = 1.940 states/eV per atom
Volume = 31.62 Å³/atom
Total moment = 4.485 μB per formula unit

VASP calculation (PBE) on a relaxed structure of CaPuTh2Sb4.

abc: 4.5141 7.8182 7.7747
angles: 109.61 90.00 90.00
Last column: magnetic moment on the atom in μB.
Sites, in units of the cell vectors:
1 Ca 0.5000 0.5000 0.0000  0.00
2 Pu 0.0000 0.0000 0.0000  5.34
3 Th 0.5000 0.0000 0.5000  0.03
4 Th 0.0000 0.5000 0.5000  0.03
5 Sb 0.5000 0.2476 0.2477  -0.04
6 Sb 0.5000 0.7524 0.7523  -0.04
7 Sb 0.0000 0.2484 0.7490  -0.02
8 Sb 0.0000 0.7516 0.2510  -0.02

Values from the calculation:
Formation energy (no corrections) = -20.47 kcal/mol of atoms
Energy = -6.85 eV/atom
Space group = P2/m, No. 10
N(E_F) = 2.154 states/eV per atom
Volume = 32.31 Å³/atom
Total moment = 5.627 μB per formula unit

VASP calculation (PBE) on a relaxed structure of Ca3PuTh2Sb6.

abc: 7.8577 7.8577 7.7857
angles: 99.67 99.67 119.96
Last column: magnetic moment on the atom in μB.
Sites, in units of the cell vectors:
1 Ca 0.1682 0.8318 0.5000  -0.02
2 Ca 0.8318 0.1682 0.5000  -0.02
3 Ca 0.5000 0.5000 0.5000  -0.02
4 Pu 0.0000 0.0000 0.0000  5.09
5 Th 0.3337 0.6663 0.0000  -0.06
6 Th 0.6663 0.3337 0.0000  -0.06
7 Sb 0.9195 0.5905 0.7581  -0.06
8 Sb 0.7522 0.7522 0.2421  -0.06
9 Sb 0.0805 0.4095 0.2419  -0.06
10 Sb 0.5905 0.9195 0.7581  -0.06
11 Sb 0.2478 0.2478 0.7579  -0.06
12 Sb 0.4095 0.0805 0.2419  -0.06

Values from the calculation:
Formation energy (no corrections) = -20.35 kcal/mol of atoms
Energy = -5.88 eV/atom
Space group = C2/m, No. 12
N(E_F) = 1.445 states/eV per atom
Volume = 32.69 Å³/atom
Total moment = 4.182 μB per formula unit

VASP calculation (PBE) on a relaxed structure of CaPuTlSb.

abc: 5.4429 5.4429 5.4429
angles: 60.00 60.00 60.00
Last column: magnetic moment on the atom in μB.
Sites, in units of the cell vectors:
1 Sb 0.0000 0.0000 0.0000  -0.03
2 Tl 0.5000 0.5000 0.5000  0.00
3 Ca 0.2500 0.2500 0.2500  0.02
4 Pu 0.7500 0.7500 0.7500  5.52

Values from the calculation:
Formation energy (no corrections) = -8.93 kcal/mol of atoms
Energy = -6.09 eV/atom
Space group = F-43m, No. 216
N(E_F) = 3.316 states/eV per atom
Volume = 28.51 Å³/atom
Total moment = 5.811 μB per formula unit

Copy entry 4 word for word.
VASP calculation (PBE) on a relaxed structure of CaPuTlSb.

abc: 5.4429 5.4429 5.4429
angles: 60.00 60.00 60.00
Last column: magnetic moment on the atom in μB.
Sites, in units of the cell vectors:
1 Sb 0.0000 0.0000 0.0000  -0.03
2 Tl 0.5000 0.5000 0.5000  0.00
3 Ca 0.2500 0.2500 0.2500  0.02
4 Pu 0.7500 0.7500 0.7500  5.52

Values from the calculation:
Formation energy (no corrections) = -8.93 kcal/mol of atoms
Energy = -6.09 eV/atom
Space group = F-43m, No. 216
N(E_F) = 3.316 states/eV per atom
Volume = 28.51 Å³/atom
Total moment = 5.811 μB per formula unit